# 1
DFT (GGA-PBE) results for an optimized crystal structure of Th4C2S.

a b c (Å): 3.759 3.759 13.254
angles (deg): 81.85 81.85 60.00
Element x y z (fractional)
Th (0.877, 0.877, 0.370)
Th (0.283, 0.283, 0.150)
Th (0.123, 0.123, 0.630)
Th (0.717, 0.717, 0.850)
S (0.000, 0.000, 0.000)
C (0.421, 0.421, 0.737)
C (0.579, 0.579, 0.263)

Properties
- Total energy: -0.3018 hartree per atom
- E_form (uncorrected): -0.748 eV/atom
- Space group: R-3m, No. 166

=====

# 2
DFT (GGA-PBE) results for an optimized crystal structure of SrIrRu2.

a b c (Å): 3.137 3.137 7.590
angles (deg): 90.00 90.00 90.00
Element x y z (fractional)
Ir (0.500, 0.500, 0.750)
Sr (0.500, 0.500, 0.250)
Ru (0.000, 0.000, 0.563)
Ru (0.000, 0.000, 0.937)

Properties
- Total energy: -0.2468 hartree per atom
- Space group: P4/mmm, No. 123
- Energy of formation from the pure elements: 0.559 eV per atom
- Relative energy among the computed polymorphs: 161 meV/atom

=====

# 3
DFT (GGA-PBE) results for an optimized crystal structure of Sr6Cd23N.

a b c (Å): 10.232 10.232 10.232
angles (deg): 60.00 60.00 60.00
Element x y z (fractional)
Sr (0.686, 0.314, 0.686)
Sr (0.314, 0.314, 0.686)
Sr (0.686, 0.686, 0.314)
Sr (0.686, 0.314, 0.314)
Sr (0.314, 0.686, 0.314)
Sr (0.314, 0.686, 0.686)
Cd (0.328, 0.017, 0.328)
Cd (0.500, 0.000, 0.000)
Cd (0.672, 0.672, 0.983)
Cd (0.358, 0.881, 0.881)
Cd (0.881, 0.881, 0.881)
Cd (0.328, 0.328, 0.017)
Cd (0.881, 0.358, 0.881)
Cd (0.672, 0.983, 0.672)
Cd (0.983, 0.672, 0.672)
Cd (0.000, 0.500, 0.500)
Cd (0.000, 0.500, 0.000)
Cd (0.017, 0.328, 0.328)
Cd (0.672, 0.672, 0.672)
Cd (0.328, 0.328, 0.328)
Cd (0.000, 0.000, 0.500)
Cd (0.000, 0.000, 0.000)
Cd (0.500, 0.500, 0.000)
Cd (0.119, 0.642, 0.119)
Cd (0.119, 0.119, 0.119)
Cd (0.642, 0.119, 0.119)
Cd (0.881, 0.881, 0.358)
Cd (0.500, 0.000, 0.500)
Cd (0.119, 0.119, 0.642)
N (0.500, 0.500, 0.500)

Properties
- Total energy: -0.0580 hartree per atom
- E_form (uncorrected): -0.264 eV/atom
- Space group: Fm-3m, No. 225

=====

# 4
DFT (GGA-PBE) results for an optimized crystal structure of Ce3Nd.

a b c (Å): 5.617 5.617 5.617
angles (deg): 60.00 60.00 60.00
Site moments in Bohr magnetons follow the coordinates.
Element x y z (fractional)
Ce (0.750, 0.750, 0.750)  1.00
Ce (0.250, 0.250, 0.250)  1.00
Ce (0.000, 0.000, 0.000)  1.08
Nd (0.500, 0.500, 0.500)  0.17

Properties
- Total energy: -0.1973 hartree per atom
- Space group: Fm-3m, No. 225
- Energy of formation from the pure elements: 0.273 eV per atom
- Relative energy among the computed polymorphs: 164 meV/atom

=====

# 5
DFT (GGA-PBE) results for an optimized crystal structure of LiCeMg.

a b c (Å): 4.047 4.047 8.587
angles (deg): 90.00 90.00 90.00
Element x y z (fractional)
Ce (0.500, 0.500, 0.000)
Ce (0.000, 0.000, 0.000)
Mg (0.500, 0.000, 0.663)
Mg (0.000, 0.500, 0.337)
Li (0.500, 0.000, 0.327)
Li (0.000, 0.500, 0.673)

Properties
- Total energy: -0.1098 hartree per atom
- Space group: P4/nmm, No. 129
- Energy of formation from the pure elements: 0.160 eV per atom
- Relative energy among the computed polymorphs: 156 meV/atom

=====

# 6
DFT (GGA-PBE) results for an optimized crystal structure of BaYCd2.

a b c (Å): 6.741 6.741 6.741
angles (deg): 147.55 129.88 60.98
Element x y z (fractional)
Cd (0.768, 0.268, 0.500)
Cd (0.968, 0.968, 0.000)
Y (0.531, 0.531, 0.000)
Ba (0.232, 0.732, 0.500)

Properties
- Total energy: -0.0989 hartree per atom
- Space group: Imm2, No. 44
- Energy of formation from the pure elements: -0.136 eV per atom
- Relative energy among the computed polymorphs: 167 meV/atom

=====

# 7
DFT (GGA-PBE) results for an optimized crystal structure of Y2ScAl2Rh5.

a b c (Å): 3.431 10.066 10.066
angles (deg): 90.00 90.00 90.00
Element x y z (fractional)
Rh (0.500, 0.792, 0.932)
Rh (0.500, 0.500, 0.000)
Rh (0.500, 0.432, 0.292)
Rh (0.500, 0.568, 0.708)
Rh (0.500, 0.292, 0.568)
Rh (0.500, 0.068, 0.792)
Rh (0.500, 0.932, 0.208)
Rh (0.500, 0.000, 0.500)
Rh (0.500, 0.708, 0.432)
Rh (0.500, 0.208, 0.068)
Al (0.000, 0.375, 0.125)
Al (0.000, 0.625, 0.875)
Al (0.000, 0.125, 0.625)
Al (0.000, 0.875, 0.375)
Y (0.000, 0.826, 0.674)
Y (0.000, 0.174, 0.326)
Y (0.000, 0.674, 0.174)
Y (0.000, 0.326, 0.826)
Sc (0.000, 0.500, 0.500)
Sc (0.000, 0.000, 0.000)

Properties
- Total energy: -0.2669 hartree per atom
- Space group: P4/mbm, No. 127
- Energy of formation from the pure elements: -0.912 eV per atom

=====

# 8
DFT (GGA-PBE) results for an optimized crystal structure of La3HgAs2.

a b c (Å): 5.210 7.237 10.744
angles (deg): 90.00 90.00 111.10
Element x y z (fractional)
La (0.624, 0.248, 0.452)
La (0.900, 0.801, 0.250)
La (0.100, 0.199, 0.750)
La (0.624, 0.248, 0.048)
La (0.376, 0.752, 0.548)
La (0.376, 0.752, 0.952)
As (0.517, 0.033, 0.750)
As (0.000, 0.000, 0.000)
As (0.000, 0.000, 0.500)
As (0.483, 0.967, 0.250)
Hg (0.227, 0.455, 0.250)
Hg (0.773, 0.545, 0.750)

Properties
- Total energy: -0.1820 hartree per atom
- Space group: Cmcm, No. 63
- Energy of formation from the pure elements: -0.889 eV per atom

=====

| no. | magnetic moment (μB/f.u.) |
| --- | --- |
| 1 | 0.00 |
| 2 | 0.00 |
| 3 | 0.00 |
| 4 | 4.67 |
| 5 | 0.00 |
| 6 | 0.00 |
| 7 | 0.00 |
| 8 | 0.00 |